{"formula": "TlInBi", "functional": "GGA-PBE", "state": "optimized geometry", "cell": [[5.075, 0.000, 0.000], [0.000, 5.081, 0.000], [-0.080, 0.000, 7.847]], "species": ["Tl", "Tl", "In", "In", "Bi", "Bi"], "fractional_positions": [[0.245, 0.250, 0.166], [0.755, 0.750, 0.834], [0.249, 0.750, 0.500], [0.751, 0.250, 0.500], [0.254, 0.250, 0.743], [0.746, 0.750, 0.257]], "dos_ef_per_ev_atom": 0.535, "e_above_lowest_polymorph_ev_per_atom": 0.032, "sg": "P2_1/m (11)", "vol_a3_per_atom": 33.73}

{"formula": "HfTlMo2Ir", "functional": "GGA-PBE", "state": "optimized geometry", "cell": [[4.921, 0.000, 0.000], [0.000, 4.921, 0.000], [0.000, 0.000, 4.853]], "species": ["Hf", "Tl", "Mo", "Mo", "Ir"], "fractional_positions": [[0.000, 0.000, 0.000], [0.500, 0.500, 0.500], [0.000, 0.500, 0.500], [0.500, 0.000, 0.500], [0.500, 0.500, 0.000]], "dos_ef_per_ev_atom": 1.745, "sg": "P4/mmm (123)", "dft_energy_ev_per_atom": -6.389, "vol_a3_per_atom": 23.50}

{"formula": "PrZn3P3", "functional": "GGA-PBE", "state": "optimized geometry", "cell": [[4.059, 0.000, 0.000], [-2.029, 3.515, 0.000], [0.000, 0.000, 20.153]], "species": ["Pr", "Pr", "Zn", "Zn", "Zn", "Zn", "Zn", "Zn", "P", "P", "P", "P", "P", "P"], "fractional_positions": [[0.000, 0.000, 0.000], [0.000, 0.000, 0.500], [0.333, 0.667, 0.130], [0.333, 0.667, 0.370], [0.333, 0.667, 0.750], [0.667, 0.333, 0.250], [0.667, 0.333, 0.630], [0.667, 0.333, 0.870], [0.333, 0.667, 0.250], [0.333, 0.667, 0.588], [0.333, 0.667, 0.912], [0.667, 0.333, 0.088], [0.667, 0.333, 0.412], [0.667, 0.333, 0.750]], "dos_ef_per_ev_atom": 0.065, "e_above_lowest_polymorph_ev_per_atom": 0.000, "sg": "P6_3/mmc (194)", "vol_a3_per_atom": 20.54}

{"formula": "Th7Pb", "functional": "GGA-PBE", "state": "optimized geometry", "cell": [[0.000, 5.008, 5.008], [5.008, 0.000, 5.008], [5.008, 5.008, 0.000]], "species": ["Th", "Th", "Th", "Th", "Th", "Th", "Th", "Pb"], "fractional_positions": [[0.000, 0.000, 0.000], [0.000, 0.000, 0.500], [0.000, 0.500, 0.000], [0.000, 0.500, 0.500], [0.500, 0.000, 0.000], [0.500, 0.000, 0.500], [0.500, 0.500, 0.000], [0.500, 0.500, 0.500]], "dos_ef_per_ev_atom": 1.194, "sg": "Fm-3m (225)", "dft_energy_ev_per_atom": -7.025, "vol_a3_per_atom": 31.40}

{"formula": "Tm2HfN3", "functional": "GGA-PBE", "state": "optimized geometry", "cell": [[3.332, 0.000, 0.000], [0.000, 3.332, 0.000], [0.000, 0.000, 14.075]], "species": ["Tm", "Tm", "Tm", "Tm", "Hf", "Hf", "N", "N", "N", "N", "N", "N"], "fractional_positions": [[0.000, 0.000, 0.166], [0.000, 0.000, 0.834], [0.500, 0.500, 0.334], [0.500, 0.500, 0.666], [0.000, 0.000, 0.500], [0.500, 0.500, 0.000], [0.000, 0.000, 0.000], [0.000, 0.000, 0.340], [0.000, 0.000, 0.660], [0.500, 0.500, 0.160], [0.500, 0.500, 0.500], [0.500, 0.500, 0.840]], "dos_ef_per_ev_atom": 0.201, "sg": "I4/mmm (139)", "e_form_raw_ev_per_atom": -1.823, "vol_a3_per_atom": 13.02}

{"formula": "LaCd8Au4", "functional": "GGA-PBE", "state": "optimized geometry", "cell": [[-5.002, 5.002, 2.819], [5.002, -5.002, 2.819], [5.002, 5.002, -2.819]], "species": ["La", "Cd", "Cd", "Cd", "Cd", "Cd", "Cd", "Cd", "Cd", "Au", "Au", "Au", "Au"], "fractional_positions": [[0.000, 0.000, 0.000], [0.000, 0.349, 0.349], [0.000, 0.651, 0.651], [0.286, 0.500, 0.786], [0.349, 0.000, 0.349], [0.500, 0.286, 0.786], [0.500, 0.714, 0.214], [0.651, 0.000, 0.651], [0.714, 0.500, 0.214], [0.000, 0.000, 0.500], [0.000, 0.500, 0.000], [0.500, 0.000, 0.000], [0.500, 0.500, 0.500]], "dos_ef_per_ev_atom": 0.496, "sg": "I4/mmm (139)", "dft_energy_ev_per_atom": -2.209, "vol_a3_per_atom": 21.71}